Record 1
# AlVTc3, relaxed, DFT PBE-GGA
# Energy relative to the lowest polymorph listed for this composition   255 meV/atom
# Energy of formation   1335.0 meV/atom
# D(E_F)   8.585 states/eV per cell
data_AlVTc3
_chemical_formula_sum 'Al1 V1 Tc3'
_symmetry_space_group_name_H-M 'P m -3 m'
_symmetry_Int_Tables_number 221
_symmetry_space_group_name_Hall '-P 4 2 3'
_cell_length_a 4.4024
_cell_length_b 4.4024
_cell_length_c 4.4024
_cell_angle_alpha 90.00
_cell_angle_beta 90.00
_cell_angle_gamma 90.00
loop_
_atom_site_label
_atom_site_fract_x
_atom_site_fract_y
_atom_site_fract_z
Al1 0.0000 0.0000 0.0000
V1 0.5000 0.5000 0.5000
Tc1 0.0000 0.0000 0.5000

---

Record 2
# Al2VTc, relaxed, DFT PBE-GGA
# Energy relative to the lowest polymorph listed for this composition   48 meV/atom
# Energy of formation   -190.9 meV/atom
# D(E_F)   23.614 states/eV per cell
data_Al2VTc
_chemical_formula_sum 'Al8 V4 Tc4'
_symmetry_space_group_name_H-M 'F m -3 m'
_symmetry_Int_Tables_number 225
_symmetry_space_group_name_Hall '-F 4 2 3'
_cell_length_a 6.1353
_cell_length_b 6.1353
_cell_length_c 6.1353
_cell_angle_alpha 90.00
_cell_angle_beta 90.00
_cell_angle_gamma 90.00
loop_
_atom_site_label
_atom_site_fract_x
_atom_site_fract_y
_atom_site_fract_z
Al1 0.2500 0.2500 0.2500
V1 0.0000 0.0000 0.0000
Tc1 0.0000 0.0000 0.5000

---

Record 3
# AlVTc, relaxed, DFT PBE-GGA
# Energy relative to the lowest polymorph listed for this composition   38 meV/atom
# Energy of formation   -371.2 meV/atom
# D(E_F)   8.241 states/eV per cell
data_AlVTc
_chemical_formula_sum 'Al4 V4 Tc4'
_symmetry_space_group_name_H-M 'C 1 2/m 1'
_symmetry_Int_Tables_number 12
_symmetry_space_group_name_Hall '-C 2y'
_cell_length_a 9.2256
_cell_length_b 3.1093
_cell_length_c 6.2594
_cell_angle_alpha 90.00
_cell_angle_beta 108.06
_cell_angle_gamma 90.00
loop_
_atom_site_label
_atom_site_fract_x
_atom_site_fract_y
_atom_site_fract_z
Al1 0.0000 0.0000 0.0000
Al2 0.0000 0.0000 0.5000
V1 0.1843 0.5000 0.3395
Tc1 0.1721 0.5000 0.8294

---

Record 4
# Al2VTc, relaxed, DFT PBE-GGA
# Energy relative to the lowest polymorph listed for this composition   83 meV/atom
# Energy of formation   -156.7 meV/atom
# D(E_F)   5.163 states/eV per cell
data_Al2VTc
_chemical_formula_sum 'Al2 V1 Tc1'
_symmetry_space_group_name_H-M 'P 4/m m m'
_symmetry_Int_Tables_number 123
_symmetry_space_group_name_Hall '-P 4 2'
_cell_length_a 2.9643
_cell_length_b 2.9643
_cell_length_c 6.5656
_cell_angle_alpha 90.00
_cell_angle_beta 90.00
_cell_angle_gamma 90.00
loop_
_atom_site_label
_atom_site_fract_x
_atom_site_fract_y
_atom_site_fract_z
Al1 0.0000 0.0000 0.2360
V1 0.5000 0.5000 0.5000
Tc1 0.5000 0.5000 0.0000

---

Record 5
# AlV3Tc4, relaxed, DFT PBE-GGA
# Energy of formation   -365.5 meV/atom
# D(E_F)   7.183 states/eV per cell
data_AlV3Tc4
_chemical_formula_sum 'Al1 V3 Tc4'
_symmetry_space_group_name_H-M 'P m m m'
_symmetry_Int_Tables_number 47
_symmetry_space_group_name_Hall '-P 2 2'
_cell_length_a 3.0410
_cell_length_b 4.2915
_cell_length_c 8.5422
_cell_angle_alpha 90.00
_cell_angle_beta 90.00
_cell_angle_gamma 90.00
loop_
_atom_site_label
_atom_site_fract_x
_atom_site_fract_y
_atom_site_fract_z
Al1 0.0000 0.0000 0.0000
V1 0.0000 0.0000 0.5000
V2 0.0000 0.5000 0.2450
Tc1 0.5000 0.0000 0.2573
Tc2 0.5000 0.5000 0.0000
Tc3 0.5000 0.5000 0.5000

---

Record 6
# AlVTc2, relaxed, DFT PBE-GGA
# Energy of formation   -340.5 meV/atom
# D(E_F)   4.955 states/eV per cell
data_AlVTc2
_chemical_formula_sum 'Al1 V1 Tc2'
_symmetry_space_group_name_H-M 'P 4/m m m'
_symmetry_Int_Tables_number 123
_symmetry_space_group_name_Hall '-P 4 2'
_cell_length_a 3.0319
_cell_length_b 3.0319
_cell_length_c 6.1157
_cell_angle_alpha 90.00
_cell_angle_beta 90.00
_cell_angle_gamma 90.00
loop_
_atom_site_label
_atom_site_fract_x
_atom_site_fract_y
_atom_site_fract_z
Al1 0.0000 0.0000 0.0000
V1 0.0000 0.0000 0.5000
Tc1 0.5000 0.5000 0.2574

---

Record 7
# AlVTc3, relaxed, DFT PBE-GGA
# Energy relative to the lowest polymorph listed for this composition   0 meV/atom
# Energy of formation   1080.1 meV/atom
# D(E_F)   5.717 states/eV per cell
data_AlVTc3
_chemical_formula_sum 'Al1 V1 Tc3'
_symmetry_space_group_name_H-M 'P m -3 m'
_symmetry_Int_Tables_number 221
_symmetry_space_group_name_Hall '-P 4 2 3'
_cell_length_a 4.4565
_cell_length_b 4.4565
_cell_length_c 4.4565
_cell_angle_alpha 90.00
_cell_angle_beta 90.00
_cell_angle_gamma 90.00
loop_
_atom_site_label
_atom_site_fract_x
_atom_site_fract_y
_atom_site_fract_z
Al1 0.0000 0.0000 0.0000
V1 0.5000 0.5000 0.5000
Tc1 0.0000 0.5000 0.5000

---

Record 8
# AlVTc2, relaxed, DFT PBE-GGA
# Energy of formation   -352.2 meV/atom
# D(E_F)   15.912 states/eV per cell
data_AlVTc2
_chemical_formula_sum 'Al4 V4 Tc8'
_symmetry_space_group_name_H-M 'C m c m'
_symmetry_Int_Tables_number 63
_symmetry_space_group_name_Hall '-C 2c 2'
_cell_length_a 6.1102
_cell_length_b 8.5311
_cell_length_c 4.2997
_cell_angle_alpha 90.00
_cell_angle_beta 90.00
_cell_angle_gamma 90.00
loop_
_atom_site_label
_atom_site_fract_x
_atom_site_fract_y
_atom_site_fract_z
Al1 0.0000 0.1290 0.2500
V1 0.0000 0.3668 0.7500
Tc1 0.2452 0.3813 0.2500

---

Record 9
# AlVTc, relaxed, DFT PBE-GGA
# Energy relative to the lowest polymorph listed for this composition   47 meV/atom
# Energy of formation   -362.7 meV/atom
# D(E_F)   6.998 states/eV per cell
data_AlVTc
_chemical_formula_sum 'Al4 V4 Tc4'
_symmetry_space_group_name_H-M 'C 1 2/m 1'
_symmetry_Int_Tables_number 12
_symmetry_space_group_name_Hall '-C 2y'
_cell_length_a 8.9222
_cell_length_b 4.3617
_cell_length_c 5.2612
_cell_angle_alpha 90.00
_cell_angle_beta 123.65
_cell_angle_gamma 90.00
loop_
_atom_site_label
_atom_site_fract_x
_atom_site_fract_y
_atom_site_fract_z
Al1 0.1709 0.0000 0.2617
V1 0.0210 0.5000 0.7668
Tc1 0.1610 0.0000 0.7522

---

Record 10
# AlV2Tc2, relaxed, DFT PBE-GGA
# Energy relative to the lowest polymorph listed for this composition   0 meV/atom
# Energy of formation   -405.3 meV/atom
# D(E_F)   8.146 states/eV per cell
data_AlV2Tc2
_chemical_formula_sum 'Al2 V4 Tc4'
_symmetry_space_group_name_H-M 'I 4/m m m'
_symmetry_Int_Tables_number 139
_symmetry_space_group_name_Hall '-I 4 2'
_cell_length_a 3.0472
_cell_length_b 3.0472
_cell_length_c 15.0395
_cell_angle_alpha 90.00
_cell_angle_beta 90.00
_cell_angle_gamma 90.00
loop_
_atom_site_label
_atom_site_fract_x
_atom_site_fract_y
_atom_site_fract_z
Al1 0.0000 0.0000 0.0000
V1 0.0000 0.0000 0.1972
Tc1 0.0000 0.0000 0.3918

---

Record 11
# AlVTc, relaxed, DFT PBE-GGA
# Energy relative to the lowest polymorph listed for this composition   382 meV/atom
# Energy of formation   -27.8 meV/atom
# D(E_F)   4.846 states/eV per cell
data_AlVTc
_chemical_formula_sum 'Al2 V2 Tc2'
_symmetry_space_group_name_H-M 'P 1 2/m 1'
_symmetry_Int_Tables_number 10
_symmetry_space_group_name_Hall '-P 2y'
_cell_length_a 5.5368
_cell_length_b 2.9475
_cell_length_c 5.8805
_cell_angle_alpha 90.00
_cell_angle_beta 100.15
_cell_angle_gamma 90.00
loop_
_atom_site_label
_atom_site_fract_x
_atom_site_fract_y
_atom_site_fract_z
Al1 0.0909 0.0000 0.3071
V1 0.4239 0.0000 0.7238
Tc1 0.2412 0.5000 0.9788

---

Record 12
# AlV6Tc, relaxed, DFT PBE-GGA
# Energy of formation   -188.2 meV/atom
# D(E_F)   18.483 states/eV per cell
data_AlV6Tc
_chemical_formula_sum 'Al2 V12 Tc2'
_symmetry_space_group_name_H-M 'A m m 2'
_symmetry_Int_Tables_number 38
_symmetry_space_group_name_Hall 'A 2 -2'
_cell_length_a 4.2309
_cell_length_b 6.0693
_cell_length_c 8.5335
_cell_angle_alpha 90.00
_cell_angle_beta 90.00
_cell_angle_gamma 90.00
loop_
_atom_site_label
_atom_site_fract_x
_atom_site_fract_y
_atom_site_fract_z
Al1 0.0000 0.0000 0.0000
V1 0.0000 0.0000 0.4970
V2 0.0000 0.2488 0.2487
V3 0.5000 0.0000 0.2427
V4 0.5000 0.2339 0.4985
Tc1 0.5000 0.0000 0.7570

---

Record 13
# AlV4Tc, relaxed, DFT PBE-GGA
# Energy relative to the lowest polymorph listed for this composition   0 meV/atom
# Energy of formation   -212.5 meV/atom
# D(E_F)   13.788 states/eV per cell
data_AlV4Tc
_chemical_formula_sum 'Al2 V8 Tc2'
_symmetry_space_group_name_H-M 'C 1 2/m 1'
_symmetry_Int_Tables_number 12
_symmetry_space_group_name_Hall '-C 2y'
_cell_length_a 9.0270
_cell_length_b 4.2949
_cell_length_c 5.2309
_cell_angle_alpha 90.00
_cell_angle_beta 125.07
_cell_angle_gamma 90.00
loop_
_atom_site_label
_atom_site_fract_x
_atom_site_fract_y
_atom_site_fract_z
Al1 0.0000 0.0000 0.0000
V1 0.1569 0.5000 0.4820
V2 0.1812 0.5000 0.0125
Tc1 0.0000 0.0000 0.5000

---

Record 14
# AlVTc, relaxed, DFT PBE-GGA
# Energy relative to the lowest polymorph listed for this composition   48 meV/atom
# Energy of formation   -361.7 meV/atom
# D(E_F)   2.136 states/eV per cell
data_AlVTc
_chemical_formula_sum 'Al2 V2 Tc2'
_symmetry_space_group_name_H-M 'P -3 m 1'
_symmetry_Int_Tables_number 164
_symmetry_space_group_name_Hall '-P 3 2"'
_cell_length_a 4.2375
_cell_length_b 4.2375
_cell_length_c 5.4034
_cell_angle_alpha 90.00
_cell_angle_beta 90.00
_cell_angle_gamma 120.00
loop_
_atom_site_label
_atom_site_fract_x
_atom_site_fract_y
_atom_site_fract_z
Al1 0.3333 0.6667 0.0935
V1 0.3333 0.6667 0.5944
Tc1 0.0000 0.0000 0.2486

---

Record 15
# Al2VTc, relaxed, DFT PBE-GGA
# Energy relative to the lowest polymorph listed for this composition   0 meV/atom
# Energy of formation   -239.3 meV/atom
# D(E_F)   3.321 states/eV per cell
data_Al2VTc
_chemical_formula_sum 'Al2 V1 Tc1'
_symmetry_space_group_name_H-M 'P 4/m m m'
_symmetry_Int_Tables_number 123
_symmetry_space_group_name_Hall '-P 4 2'
_cell_length_a 3.7938
_cell_length_b 3.7938
_cell_length_c 3.9901
_cell_angle_alpha 90.00
_cell_angle_beta 90.00
_cell_angle_gamma 90.00
loop_
_atom_site_label
_atom_site_fract_x
_atom_site_fract_y
_atom_site_fract_z
Al1 0.0000 0.5000 0.0000
V1 0.0000 0.0000 0.5000
Tc1 0.5000 0.5000 0.5000

---

Record 16
# AlV2Tc2, relaxed, DFT PBE-GGA
# Energy relative to the lowest polymorph listed for this composition   111 meV/atom
# Energy of formation   -294.5 meV/atom
# D(E_F)   7.619 states/eV per cell
data_AlV2Tc2
_chemical_formula_sum 'Al2 V4 Tc4'
_symmetry_space_group_name_H-M 'C 1 2/m 1'
_symmetry_Int_Tables_number 12
_symmetry_space_group_name_Hall '-C 2y'
_cell_length_a 12.6522
_cell_length_b 4.1666
_cell_length_c 2.7034
_cell_angle_alpha 90.00
_cell_angle_beta 99.27
_cell_angle_gamma 90.00
loop_
_atom_site_label
_atom_site_fract_x
_atom_site_fract_y
_atom_site_fract_z
Al1 0.0000 0.0000 0.0000
V1 0.1997 0.0000 0.7861
Tc1 0.1059 0.5000 0.4292

---

Record 17
# AlV4Tc, relaxed, DFT PBE-GGA
# Energy relative to the lowest polymorph listed for this composition   122 meV/atom
# Energy of formation   -90.6 meV/atom
# D(E_F)   41.191 states/eV per cell
data_AlV4Tc
_chemical_formula_sum 'Al4 V16 Tc4'
_symmetry_space_group_name_H-M 'F -4 3 m'
_symmetry_Int_Tables_number 216
_symmetry_space_group_name_Hall 'F -4 2 3'
_cell_length_a 6.9315
_cell_length_b 6.9315
_cell_length_c 6.9315
_cell_angle_alpha 90.00
_cell_angle_beta 90.00
_cell_angle_gamma 90.00
loop_
_atom_site_label
_atom_site_fract_x
_atom_site_fract_y
_atom_site_fract_z
Al1 0.0000 0.0000 0.0000
V1 0.1250 0.1250 0.6250
Tc1 0.2500 0.2500 0.2500

---

Record 18
# AlVTcW, relaxed, DFT PBE-GGA
# Energy of formation   -192.6 meV/atom
# D(E_F)   10.682 states/eV per cell
data_AlVTcW
_chemical_formula_sum 'Al4 V4 Tc4 W4'
_symmetry_space_group_name_H-M 'F -4 3 m'
_symmetry_Int_Tables_number 216
_symmetry_space_group_name_Hall 'F -4 2 3'
_cell_length_a 6.1834
_cell_length_b 6.1834
_cell_length_c 6.1834
_cell_angle_alpha 90.00
_cell_angle_beta 90.00
_cell_angle_gamma 90.00
loop_
_atom_site_label
_atom_site_fract_x
_atom_site_fract_y
_atom_site_fract_z
Al1 0.0000 0.0000 0.0000
V1 0.2500 0.2500 0.7500
Tc1 0.2500 0.2500 0.2500
W1 0.0000 0.0000 0.5000

---

Record 19
# ZrAlVTc, relaxed, DFT PBE-GGA
# Energy of formation   -191.5 meV/atom
# D(E_F)   18.224 states/eV per cell
data_ZrAlVTc
_chemical_formula_sum 'Zr4 Al4 V4 Tc4'
_symmetry_space_group_name_H-M 'F -4 3 m'
_symmetry_Int_Tables_number 216
_symmetry_space_group_name_Hall 'F -4 2 3'
_cell_length_a 6.3803
_cell_length_b 6.3803
_cell_length_c 6.3803
_cell_angle_alpha 90.00
_cell_angle_beta 90.00
_cell_angle_gamma 90.00
loop_
_atom_site_label
_atom_site_fract_x
_atom_site_fract_y
_atom_site_fract_z
Zr1 0.0000 0.0000 0.0000
Al1 0.0000 0.0000 0.5000
V1 0.2500 0.2500 0.2500
Tc1 0.2500 0.2500 0.7500

---

Record 20
# AlTcW3, relaxed, DFT PBE-GGA
# Energy relative to the lowest polymorph listed for this composition   49 meV/atom
# Energy of formation   1909.7 meV/atom
# D(E_F)   6.273 states/eV per cell
data_AlTcW3
_chemical_formula_sum 'Al1 Tc1 W3'
_symmetry_space_group_name_H-M 'P m -3 m'
_symmetry_Int_Tables_number 221
_symmetry_space_group_name_Hall '-P 4 2 3'
_cell_length_a 4.4698
_cell_length_b 4.4698
_cell_length_c 4.4698
_cell_angle_alpha 90.00
_cell_angle_beta 90.00
_cell_angle_gamma 90.00
loop_
_atom_site_label
_atom_site_fract_x
_atom_site_fract_y
_atom_site_fract_z
Al1 0.0000 0.0000 0.0000
Tc1 0.5000 0.5000 0.5000
W1 0.0000 0.0000 0.5000